A relaxed structure of RbGa2AuBr8. Source: Alexandria via LeMat-Bulk, functional PBE-GGA.

Unit cell a=6.9427 b=6.9427 c=10.0249 alpha=90.00 beta=90.00 gamma=120.00
Last column: nearest neighbours and their distance in Å.
Element x y z (fractional)
Rb1 0.0000 0.0000 0.0000  12 Br 3.96-4.01
Ga1 0.3333 0.6667 0.7488  4 Br 2.37-2.38
Ga2 0.6667 0.3333 0.2512  4 Br 2.37-2.38
Au1 0.0000 0.0000 0.5000  6 Br 2.89
Br1 0.0121 0.3346 0.6769  1 Ga 2.38
Br2 0.3225 0.9879 0.6769  1 Ga 2.38
Br3 0.3333 0.6667 0.9848  1 Ga 2.37
Br4 0.3346 0.3225 0.3231  1 Ga 2.38
Br5 0.6654 0.6775 0.6769  1 Ga 2.38
Br6 0.6667 0.3333 0.0152  1 Ga 2.37
Br7 0.6775 0.0121 0.3231  1 Ga 2.38
Br8 0.9879 0.6654 0.3231  1 Ga 2.38

Properties
The calculation puts the spin magnetization at 0.000 μB per atom. Its space group is No. 147. Its uncorrected formation energy is -19.29 kcal/mol of atoms.